ZrRe5 | PBE | relaxed

Lattice parameters (Å, degrees): 2.832 2.832 12.096 90.00 90.00 90.00
Element x y z (fractional)
Re: 0.000 0.000 0.190
Re: 0.000 0.000 0.500
Re: 0.500 0.500 0.341
Re: 0.000 0.000 0.810
Re: 0.500 0.500 0.659
Zr: 0.500 0.500 0.000

Calculated values
Symmetry: No. 123
Energy relative to the elements (eV per atom): 0.095
Total magnetization (μB per cell): 0.00
Energy above the lowest structure with this stoichiometry (meV/atom): 32.4

---

Al2SiSe2 | PBE | relaxed

Lattice parameters (Å, degrees): 6.508 6.508 6.508 139.71 139.71 58.30
Element x y z (fractional)
Se: 0.641 0.641 0.000
Se: 0.359 0.359 0.000
Al: 0.250 0.750 0.500
Al: 0.750 0.250 0.500
Si: 0.000 0.000 0.000

Calculated values
Symmetry: No. 139
Total magnetization (μB per cell): 0.00
ΔE_f (raw) (eV/atom): 0.34

---

CsRb3Zn4Br12 | PBE | relaxed

Lattice parameters (Å, degrees): 10.210 10.210 10.210 101.50 101.50 101.50
Element x y z (fractional)
Rb: 0.467 0.000 0.533
Rb: 0.533 0.467 0.000
Rb: 0.000 0.533 0.467
Zn: 0.958 0.042 0.500
Zn: 0.500 0.958 0.042
Zn: 0.500 0.500 0.500
Zn: 0.042 0.500 0.958
Br: 0.819 0.043 0.657
Br: 0.181 0.343 0.957
Br: 0.657 0.819 0.043
Br: 0.352 0.648 0.500
Br: 0.648 0.500 0.352
Br: 0.343 0.957 0.181
Br: 0.893 0.500 0.107
Br: 0.500 0.107 0.893
Br: 0.043 0.657 0.819
Br: 0.957 0.181 0.343
Br: 0.107 0.893 0.500
Br: 0.500 0.352 0.648
Cs: 0.000 0.000 0.000

Calculated values
Symmetry: No. 155
Total magnetization (μB per cell): 0.00
ΔE_f (raw) (eV/atom): -1.21

---

LaYEr14 | PBE | relaxed

Lattice parameters (Å, degrees): 7.088 7.088 11.401 90.00 90.00 119.96
Element x y z (fractional)
Er: 0.208 0.292 0.500
Er: 0.708 0.792 0.500
Er: 0.876 0.124 0.753
Er: 0.875 0.626 0.754
Er: 0.374 0.125 0.246
Er: 0.376 0.624 0.751
Er: 0.042 0.458 0.000
Er: 0.875 0.626 0.246
Er: 0.541 0.459 0.000
Er: 0.041 0.959 0.000
Er: 0.542 0.958 0.000
Er: 0.374 0.125 0.754
Er: 0.876 0.124 0.247
Er: 0.376 0.624 0.249
La: 0.708 0.292 0.500
Y: 0.208 0.792 0.500

Calculated values
Symmetry: No. 38
Energy relative to the elements (eV per atom): 0.011
Total magnetization (μB per cell): 0.00

---

Tm4CdAu | PBE | relaxed

Lattice parameters (Å, degrees): 6.937 7.194 7.242 90.00 93.53 90.00
Element x y z (fractional)
Tm: 0.379 0.853 0.163
Tm: 0.325 0.337 0.343
Tm: 0.621 0.147 0.837
Tm: 0.825 0.163 0.343
Tm: 0.121 0.353 0.837
Tm: 0.175 0.837 0.657
Tm: 0.879 0.647 0.163
Tm: 0.675 0.663 0.657
Cd: 0.500 0.500 0.000
Cd: 0.000 0.000 0.000
Au: 0.500 0.000 0.500
Au: 0.000 0.500 0.500

Calculated values
Symmetry: No. 14
Energy relative to the elements (eV per atom): -0.145
Total magnetization (μB per cell): 0.00
Energy above the lowest structure with this stoichiometry (meV/atom): 292.8

---

Dy2NiPd | PBE | relaxed

Lattice parameters (Å, degrees): 4.356 5.530 7.537 110.16 90.00 90.00
Element x y z (fractional)
Dy: 0.250 0.783 0.066
Dy: 0.250 0.773 0.573
Dy: 0.750 0.217 0.934
Dy: 0.750 0.227 0.427
Pd: 0.250 0.337 0.711
Pd: 0.750 0.663 0.289
Ni: 0.750 0.659 0.791
Ni: 0.250 0.341 0.209

Calculated values
Symmetry: No. 11
Energy relative to the elements (eV per atom): -0.672
Total magnetization (μB per cell): 0.00
Energy above the lowest structure with this stoichiometry (meV/atom): 0.0

---

GdHoThHg | PBE | relaxed

Lattice parameters (Å, degrees): 5.454 5.454 5.454 60.00 60.00 60.00
Site moments in Bohr magnetons follow the coordinates.
Element x y z (fractional)
Hg: 0.500 0.500 0.500  0.00
Th: 0.000 0.000 0.000  0.42
Ho: 0.750 0.750 0.750  0.21
Gd: 0.250 0.250 0.250  7.26

Calculated values
Symmetry: No. 216
Energy relative to the elements (eV per atom): 0.070
Total magnetization (μB per cell): 8.46

---

| no. | electronic total energy (eV per atom) |
| --- | --- |
| 1 | -11.7029 |
| 2 | -3.6343 |
| 3 | -2.6594 |
| 4 | -4.6930 |
| 5 | -3.8243 |
| 6 | -5.7169 |
| 7 | -6.5249 |